1.
This record from the Alexandria database describes a relaxed structure of AlV2GeO. The functional is PBE+U.

Unit cell a=4.139 b=4.139 c=4.571 alpha=90.00 beta=90.00 gamma=90.00
Element x y z (fractional)
Al 0.000 0.000 0.000
V 0.000 0.500 0.500
V 0.500 0.000 0.500
Ge 0.500 0.500 0.000
O 0.500 0.500 0.500

Results
volume	78.3	Å³/f.u.
spin magnetization	5.827	Bohr magnetons per cell
total DFT energy (no corrections)	-5.6795	eV per atom
density of states at the Fermi level	1.83	states/eV/f.u.



2.
This record from the Alexandria database describes a relaxed structure of AlVGeO5. The functional is PBE+U.

Unit cell a=5.509 b=5.509 c=6.973 alpha=108.27 beta=108.27 gamma=96.60
Element x y z (fractional)
Al 0.000 0.000 0.000
Al 0.000 0.000 0.500
V 0.295 0.705 0.750
V 0.705 0.295 0.250
Ge 0.360 0.640 0.250
Ge 0.640 0.360 0.750
O 0.062 0.938 0.750
O 0.237 0.758 0.038
O 0.242 0.763 0.462
O 0.291 0.315 0.652
O 0.315 0.291 0.152
O 0.685 0.709 0.848
O 0.709 0.685 0.348
O 0.758 0.237 0.538
O 0.763 0.242 0.962
O 0.938 0.062 0.250

Results
volume	92.7	Å³/f.u.
spin magnetization	4.000	Bohr magnetons per cell
total DFT energy (no corrections)	-7.2108	eV per atom
density of states at the Fermi level	0.00	states/eV/f.u.